[1]
# SbPb2W (meta-GGA SCAN, single point on PBEsol structure)
data_SbPb2W
_space_group_name_H-M_alt 'C 1 m 1'
_space_group_IT_number 8
_cell_length_a 9.647
_cell_length_b 3.233
_cell_length_c 7.165
_cell_angle_alpha 90.00
_cell_angle_beta 109.88
_cell_angle_gamma 90.00
loop_
_space_group_symop_operation_xyz
'x,y,z'
'x,-y,z'
'x+1/2,y+1/2,z'
'x+1/2,-y+1/2,z'
loop_
_atom_site_label
_atom_site_fract_x
_atom_site_fract_y
_atom_site_fract_z
Sb1 0.000 0.000 0.000
Pb1 0.143 0.500 0.646
Pb2 0.325 0.500 0.358
W1 0.280 0.000 0.005
# raw formation energy	0.514	eV per atom
# total magnetic moment	0.00	μB/f.u.
# uncorrected energy	-512.9	eV/cell

[2]
# YSb2Pb (meta-GGA SCAN, single point on PBEsol structure)
data_YSb2Pb
_space_group_name_H-M_alt 'C m m m'
_space_group_IT_number 65
_space_group_name_Hall '-C 2 2'
_cell_length_a 6.539
_cell_length_b 8.168
_cell_length_c 4.034
_cell_angle_alpha 90.00
_cell_angle_beta 90.00
_cell_angle_gamma 90.00
loop_
_atom_site_label
_atom_site_fract_x
_atom_site_fract_y
_atom_site_fract_z
Y1 0.000 0.000 0.000
Sb1 0.250 0.250 0.500
Pb1 0.000 0.500 0.000
# raw formation energy	-0.498	eV per atom
# total magnetic moment	0.00	μB/f.u.
# uncorrected energy	-360.3	eV/cell

[3]
# YSbPb2 (meta-GGA SCAN, single point on PBEsol structure)
data_YSbPb2
_space_group_name_H-M_alt 'P 1 2/m 1'
_space_group_IT_number 10
_cell_length_a 3.420
_cell_length_b 5.979
_cell_length_c 5.459
_cell_angle_alpha 90.00
_cell_angle_beta 90.00
_cell_angle_gamma 90.00
loop_
_space_group_symop_operation_xyz
'x,y,z'
'-x,-y,-z'
'-x,y,-z'
'x,-y,z'
loop_
_atom_site_label
_atom_site_fract_x
_atom_site_fract_y
_atom_site_fract_z
Y1 0.000 0.000 0.000
Sb1 0.500 0.000 0.500
Pb1 0.271 0.500 0.246
# raw formation energy	-0.311	eV per atom
# total magnetic moment	0.00	μB/f.u.
# uncorrected energy	-217.9	eV/cell

[4]
# YSbPb2 (meta-GGA SCAN, single point on PBEsol structure)
data_YSbPb2
_space_group_name_H-M_alt 'P 4 m m'
_space_group_IT_number 99
_cell_length_a 3.538
_cell_length_b 3.538
_cell_length_c 8.946
_cell_angle_alpha 90.00
_cell_angle_beta 90.00
_cell_angle_gamma 90.00
loop_
_space_group_symop_operation_xyz
'x,y,z'
'-y,x,z'
'-x,-y,z'
'y,-x,z'
'-x,y,z'
'y,x,z'
'x,-y,z'
'-y,-x,z'
loop_
_atom_site_label
_atom_site_fract_x
_atom_site_fract_y
_atom_site_fract_z
Y1 0.000 0.000 0.000
Sb1 0.500 0.500 0.780
Pb1 0.000 0.000 0.512
Pb2 0.500 0.500 0.250
# raw formation energy	-0.306	eV per atom
# total magnetic moment	0.00	μB/f.u.
# uncorrected energy	-217.9	eV/cell

[5]
# Y2SbPb (meta-GGA SCAN, single point on PBEsol structure)
data_Y2SbPb
_space_group_name_H-M_alt 'R -3 m'
_space_group_IT_number 166
_space_group_name_Hall '-R 3 2"'
_cell_length_a 4.1821
_cell_length_b 4.1821
_cell_length_c 23.0392
_cell_angle_alpha 90.00
_cell_angle_beta 90.00
_cell_angle_gamma 120.00
loop_
_atom_site_label
_atom_site_fract_x
_atom_site_fract_y
_atom_site_fract_z
Y1 0.0000 0.0000 0.2454
Sb1 0.0000 0.0000 0.5000
Pb1 0.0000 0.0000 0.0000
# raw formation energy	-0.984	eV per atom
# total magnetic moment	0.00	μB/f.u.
# uncorrected energy	-518.0	eV/cell
# ΔE to the lowest computed polymorph	0	kJ/mol of formula units

[6]
# YSb2Pb (meta-GGA SCAN, single point on PBEsol structure)
data_YSb2Pb
_space_group_name_H-M_alt 'C m m m'
_space_group_IT_number 65
_space_group_name_Hall '-C 2 2'
_cell_length_a 4.543
_cell_length_b 5.567
_cell_length_c 8.756
_cell_angle_alpha 90.00
_cell_angle_beta 90.00
_cell_angle_gamma 90.00
loop_
_atom_site_label
_atom_site_fract_x
_atom_site_fract_y
_atom_site_fract_z
Y1 0.000 0.000 0.000
Sb1 0.000 0.500 0.230
Pb1 0.000 0.000 0.500
# raw formation energy	-0.396	eV per atom
# total magnetic moment	0.00	μB/f.u.
# uncorrected energy	-359.5	eV/cell

[7]
# YSbPb2 (meta-GGA SCAN, single point on PBEsol structure)
data_YSbPb2
_space_group_name_H-M_alt 'I 4/m m m'
_space_group_IT_number 139
_space_group_name_Hall '-I 4 2'
_cell_length_a 4.475
_cell_length_b 4.475
_cell_length_c 10.929
_cell_angle_alpha 90.00
_cell_angle_beta 90.00
_cell_angle_gamma 90.00
loop_
_atom_site_label
_atom_site_fract_x
_atom_site_fract_y
_atom_site_fract_z
Y1 0.000 0.000 0.000
Sb1 0.000 0.000 0.500
Pb1 0.000 0.500 0.250
# raw formation energy	-0.464	eV per atom
# total magnetic moment	0.00	μB/f.u.
# uncorrected energy	-437.0	eV/cell

[8]
# YSb2Pb2 (meta-GGA SCAN, single point on PBEsol structure)
data_YSb2Pb2
_space_group_name_H-M_alt 'I 4/m m m'
_space_group_IT_number 139
_space_group_name_Hall '-I 4 2'
_cell_length_a 4.276
_cell_length_b 4.276
_cell_length_c 16.393
_cell_angle_alpha 90.00
_cell_angle_beta 90.00
_cell_angle_gamma 90.00
loop_
_atom_site_label
_atom_site_fract_x
_atom_site_fract_y
_atom_site_fract_z
Y1 0.000 0.000 0.000
Sb1 0.000 0.500 0.250
Pb1 0.000 0.000 0.408
# raw formation energy	-0.040	eV per atom
# total magnetic moment	0.00	μB/f.u.
# uncorrected energy	-508.3	eV/cell

[9]
# Y2SbPb (meta-GGA SCAN, single point on PBEsol structure)
data_Y2SbPb
_space_group_name_H-M_alt 'P 4/m m m'
_space_group_IT_number 123
_space_group_name_Hall '-P 4 2'
_cell_length_a 4.352
_cell_length_b 4.352
_cell_length_c 6.150
_cell_angle_alpha 90.00
_cell_angle_beta 90.00
_cell_angle_gamma 90.00
loop_
_atom_site_label
_atom_site_fract_x
_atom_site_fract_y
_atom_site_fract_z
Y1 0.000 0.000 0.000
Y2 0.500 0.500 0.500
Sb1 0.000 0.000 0.500
Pb1 0.500 0.500 0.000
# raw formation energy	-0.979	eV per atom
# total magnetic moment	0.00	μB/f.u.
# uncorrected energy	-172.6	eV/cell
# ΔE to the lowest computed polymorph	2	kJ/mol of formula units

[10]
# Zn2SbPb (meta-GGA SCAN, single point on PBEsol structure)
data_Zn2SbPb
_space_group_name_H-M_alt 'P 4/m m m'
_space_group_IT_number 123
_space_group_name_Hall '-P 4 2'
_cell_length_a 3.624
_cell_length_b 3.624
_cell_length_c 6.676
_cell_angle_alpha 90.00
_cell_angle_beta 90.00
_cell_angle_gamma 90.00
loop_
_atom_site_label
_atom_site_fract_x
_atom_site_fract_y
_atom_site_fract_z
Zn1 0.000 0.000 0.217
Sb1 0.500 0.500 0.000
Pb1 0.500 0.500 0.500
# raw formation energy	0.259	eV per atom
# total magnetic moment	0.00	μB/f.u.
# uncorrected energy	-139.0	eV/cell

[11]
# ZrSb2Pb (meta-GGA SCAN, single point on PBEsol structure)
data_ZrSb2Pb
_space_group_name_H-M_alt 'R 3 m'
_space_group_IT_number 160
_space_group_name_Hall 'R 3 -2"'
_cell_length_a 3.2955
_cell_length_b 3.2955
_cell_length_c 32.0893
_cell_angle_alpha 90.00
_cell_angle_beta 90.00
_cell_angle_gamma 120.00
loop_
_atom_site_label
_atom_site_fract_x
_atom_site_fract_y
_atom_site_fract_z
Zr1 0.0000 0.0000 0.0000
Sb1 0.0000 0.0000 0.2595
Sb2 0.0000 0.0000 0.5019
Pb1 0.0000 0.0000 0.7460
# raw formation energy	-0.014	eV per atom
# total magnetic moment	0.00	μB/f.u.
# uncorrected energy	-543.2	eV/cell

[12]
# ZrSbPb2 (meta-GGA SCAN, single point on PBEsol structure)
data_ZrSbPb2
_space_group_name_H-M_alt 'C m m m'
_space_group_IT_number 65
_space_group_name_Hall '-C 2 2'
_cell_length_a 6.613
_cell_length_b 9.280
_cell_length_c 3.278
_cell_angle_alpha 90.00
_cell_angle_beta 90.00
_cell_angle_gamma 90.00
loop_
_atom_site_label
_atom_site_fract_x
_atom_site_fract_y
_atom_site_fract_z
Zr1 0.000 0.000 0.000
Sb1 0.000 0.500 0.000
Pb1 0.250 0.250 0.500
# raw formation energy	-0.018	eV per atom
# total magnetic moment	0.00	μB/f.u.
# uncorrected energy	-439.2	eV/cell

[13]
# ZrSb2Pb (meta-GGA SCAN, single point on PBEsol structure)
data_ZrSb2Pb
_space_group_name_H-M_alt 'C 1 2/m 1'
_space_group_IT_number 12
_cell_length_a 10.790
_cell_length_b 3.267
_cell_length_c 5.743
_cell_angle_alpha 90.00
_cell_angle_beta 100.71
_cell_angle_gamma 90.00
loop_
_space_group_symop_operation_xyz
'x,y,z'
'-x,-y,-z'
'-x,y,-z'
'x,-y,z'
'x+1/2,y+1/2,z'
'-x+1/2,-y+1/2,-z'
'-x+1/2,y+1/2,-z'
'x+1/2,-y+1/2,z'
loop_
_atom_site_label
_atom_site_fract_x
_atom_site_fract_y
_atom_site_fract_z
Zr1 0.000 0.000 0.000
Sb1 0.232 0.500 0.217
Pb1 0.000 0.500 0.500
# raw formation energy	-0.139	eV per atom
# total magnetic moment	0.00	μB/f.u.
# uncorrected energy	-363.1	eV/cell